First-principles (PBE) data for crystalline Sc2HgW at its relaxed geometry, as listed in the Alexandria database.

Calculated values
As for the space group: No. 12. For the total energy, the calculation gives -0.4570 Ry/atom. For the total magnetization, the calculation gives 0.000 μB/f.u. The value obtained for the formation energy is 261 meV/atom.

Cell: 5.0154 5.0154 5.6249 Å, 81.49 81.49 35.01°
Atoms (fractional coordinates):
Sc (0.0025, 0.0025, 0.9883)
Sc (0.4975, 0.4975, 0.5117)
W (0.7500, 0.7500, 0.7500)
Hg (0.2500, 0.2500, 0.2500)

***

First-principles (PBE) data for crystalline ScHgW2 at its relaxed geometry, as listed in the Alexandria database.

Calculated values
As for the space group: No. 99. For the total energy, the calculation gives -0.5853 Ry/atom. For the total magnetization, the calculation gives 0.000 μB/f.u. The value obtained for the formation energy is 172 meV/atom.

Cell: 3.2985 3.2985 6.8543 Å, 90.00 90.00 90.00°
Atoms (fractional coordinates):
Sc (0.5000, 0.5000, 0.7664)
W (0.5000, 0.5000, 0.2152)
W (0.0000, 0.0000, 0.0250)
Hg (0.0000, 0.0000, 0.4933)

***

First-principles (PBE) data for crystalline ScHgW2 at its relaxed geometry, as listed in the Alexandria database.

Calculated values
As for the space group: No. 47. For the total energy, the calculation gives -0.5598 Ry/atom. For the total magnetization, the calculation gives 0.000 μB/f.u. The value obtained for the formation energy is 519 meV/atom.

Cell: 2.8095 4.6867 5.6571 Å, 90.00 90.00 90.00°
Atoms (fractional coordinates):
Hg (0.5000, 0.5000, 0.2500)
W (0.0000, 0.0000, 0.9767)
W (0.0000, 0.0000, 0.5233)
Sc (0.5000, 0.5000, 0.7500)

***

First-principles (PBE) data for crystalline Sc2HgW at its relaxed geometry, as listed in the Alexandria database.

Calculated values
As for the space group: No. 166. For the total energy, the calculation gives -0.4657 Ry/atom. For the total magnetization, the calculation gives 0.062 μB/f.u. The value obtained for the formation energy is 143 meV/atom.

Cell: 9.8305 9.8305 9.8305 Å, 18.31 18.31 18.31°
Atoms (fractional coordinates):
Hg (0.7500, 0.7500, 0.7500)
W (0.2500, 0.2500, 0.2500)
Sc (0.5043, 0.5043, 0.5043)
Sc (0.9957, 0.9957, 0.9957)

***

First-principles (PBE) data for crystalline ScHg2W at its relaxed geometry, as listed in the Alexandria database.

Calculated values
As for the space group: No. 65. For the total energy, the calculation gives -0.3436 Ry/atom. For the total magnetization, the calculation gives 0.000 μB/f.u. The value obtained for the formation energy is 298 meV/atom. For the energy above the most stable polymorph in this dataset, the calculation gives 46 meV per atom.

Cell: 5.1834 5.1834 3.0323 Å, 90.01 90.01 109.54°
Atoms (fractional coordinates):
W (0.0000, 0.5000, 0.5000)
Hg (0.5000, 0.5000, 0.0000)
Sc (0.5000, 0.0000, 0.5000)
Hg (0.0000, 0.0000, 0.0000)

***

First-principles (PBE) data for crystalline ScHg2W at its relaxed geometry, as listed in the Alexandria database.

Calculated values
As for the space group: No. 12. For the total energy, the calculation gives -0.3380 Ry/atom. For the total magnetization, the calculation gives 0.001 μB/f.u. The value obtained for the formation energy is 373 meV/atom. For the energy above the most stable polymorph in this dataset, the calculation gives 121 meV per atom.

Cell: 5.2362 5.2362 5.3372 Å, 80.79 80.79 33.49°
Atoms (fractional coordinates):
W (0.2500, 0.2500, 0.2500)
Hg (0.9977, 0.9977, 0.0088)
Sc (0.7500, 0.7500, 0.7500)
Hg (0.5023, 0.5023, 0.4912)